1.
A plane-wave DFT calculation with PBE was carried out for Ce2Ge5Rh after structural relaxation.

```
data_Ce2Ge5Rh
_cell_length_a 6.258
_cell_length_b 6.258
_cell_length_c 6.258
_cell_angle_alpha 123.35
_cell_angle_beta 123.35
_cell_angle_gamma 84.29
_symmetry_space_group_name_H-M 'P 1'
_symmetry_Int_Tables_number 1
loop_
_symmetry_equiv_pos_as_xyz
'x,y,z'
loop_
_atom_site_label
_atom_site_type_symbol
_atom_site_fract_x
_atom_site_fract_y
_atom_site_fract_z
_atom_site_occupancy
Ce1 Ce 0.000 0.500 0.500 1
Ce2 Ce 0.500 0.000 0.500 1
Ge1 Ge 0.024 0.024 0.538 1
Ge2 Ge 0.024 0.486 0.000 1
Ge3 Ge 0.037 0.037 0.000 1
Ge4 Ge 0.486 0.024 0.000 1
Ge5 Ge 0.486 0.486 0.462 1
Rh1 Rh 0.636 0.636 0.000 1
```

=====

2.
A plane-wave DFT calculation with PBE was carried out for Ce7GeRh2 after structural relaxation.

```
data_Ce7GeRh2
_cell_length_a 8.010
_cell_length_b 8.010
_cell_length_c 4.951
_cell_angle_alpha 90.00
_cell_angle_beta 90.00
_cell_angle_gamma 113.37
_symmetry_space_group_name_H-M 'P 1'
_symmetry_Int_Tables_number 1
loop_
_symmetry_equiv_pos_as_xyz
'x,y,z'
loop_
_atom_site_label
_atom_site_type_symbol
_atom_site_fract_x
_atom_site_fract_y
_atom_site_fract_z
_atom_site_occupancy
Ce1 Ce 0.000 0.000 0.000 1
Ce2 Ce 0.228 0.444 0.000 1
Ce3 Ce 0.250 0.750 0.500 1
Ce4 Ce 0.444 0.228 0.000 1
Ce5 Ce 0.556 0.772 0.000 1
Ce6 Ce 0.750 0.250 0.500 1
Ce7 Ce 0.772 0.556 0.000 1
Ge1 Ge 0.500 0.500 0.500 1
Rh1 Rh 0.187 0.813 0.000 1
Rh2 Rh 0.813 0.187 0.000 1
```

=====

3.
A plane-wave DFT calculation with PBE was carried out for Ce5Ge2Rh after structural relaxation.

```
data_Ce5Ge2Rh
_cell_length_a 7.625
_cell_length_b 11.759
_cell_length_c 4.509
_cell_angle_alpha 90.00
_cell_angle_beta 90.00
_cell_angle_gamma 90.00
_symmetry_space_group_name_H-M 'P 1'
_symmetry_Int_Tables_number 1
loop_
_symmetry_equiv_pos_as_xyz
'x,y,z'
loop_
_atom_site_label
_atom_site_type_symbol
_atom_site_fract_x
_atom_site_fract_y
_atom_site_fract_z
_atom_site_occupancy
Ce1 Ce 0.000 0.000 0.000 1
Ce2 Ce 0.141 0.287 0.000 1
Ce3 Ce 0.214 0.565 0.500 1
Ce4 Ce 0.286 0.065 0.500 1
Ce5 Ce 0.359 0.787 0.000 1
Ce6 Ce 0.500 0.500 0.000 1
Ce7 Ce 0.641 0.213 0.000 1
Ce8 Ce 0.714 0.935 0.500 1
Ce9 Ce 0.786 0.435 0.500 1
Ce10 Ce 0.859 0.713 0.000 1
Ge1 Ge 0.084 0.826 0.500 1
Ge2 Ge 0.416 0.326 0.500 1
Ge3 Ge 0.584 0.674 0.500 1
Ge4 Ge 0.916 0.174 0.500 1
Rh1 Rh 0.000 0.500 0.000 1
Rh2 Rh 0.500 0.000 0.000 1
```

=====

4.
A plane-wave DFT calculation with PBE was carried out for Ce2Ge4Rh5 after structural relaxation.

```
data_Ce2Ge4Rh5
_cell_length_a 8.804
_cell_length_b 7.867
_cell_length_c 5.643
_cell_angle_alpha 79.48
_cell_angle_beta 61.46
_cell_angle_gamma 39.06
_symmetry_space_group_name_H-M 'P 1'
_symmetry_Int_Tables_number 1
loop_
_symmetry_equiv_pos_as_xyz
'x,y,z'
loop_
_atom_site_label
_atom_site_type_symbol
_atom_site_fract_x
_atom_site_fract_y
_atom_site_fract_z
_atom_site_occupancy
Ce1 Ce 0.129 0.129 0.871 1
Ce2 Ce 0.871 0.871 0.129 1
Ge1 Ge 0.214 0.524 0.476 1
Ge2 Ge 0.476 0.786 0.214 1
Ge3 Ge 0.524 0.214 0.786 1
Ge4 Ge 0.786 0.476 0.524 1
Rh1 Rh 0.000 0.000 0.500 1
Rh2 Rh 0.250 0.250 0.250 1
Rh3 Rh 0.500 0.500 0.000 1
Rh4 Rh 0.500 0.500 0.500 1
Rh5 Rh 0.750 0.750 0.750 1
```

=====

5.
A plane-wave DFT calculation with PBE was carried out for Ce2Ge6Rh after structural relaxation.

```
data_Ce2Ge6Rh
_cell_length_a 4.132
_cell_length_b 11.279
_cell_length_c 11.279
_cell_angle_alpha 20.88
_cell_angle_beta 90.00
_cell_angle_gamma 90.00
_symmetry_space_group_name_H-M 'P 1'
_symmetry_Int_Tables_number 1
loop_
_symmetry_equiv_pos_as_xyz
'x,y,z'
loop_
_atom_site_label
_atom_site_type_symbol
_atom_site_fract_x
_atom_site_fract_y
_atom_site_fract_z
_atom_site_occupancy
Ce1 Ce 0.000 0.000 0.000 1
Ce2 Ce 0.000 0.333 0.333 1
Ge1 Ge 0.000 0.603 0.603 1
Ge2 Ge 0.000 0.716 0.716 1
Ge3 Ge 0.500 0.102 0.102 1
Ge4 Ge 0.500 0.215 0.215 1
Ge5 Ge 0.500 0.457 0.457 1
Ge6 Ge 0.500 0.888 0.888 1
Rh1 Rh 0.500 0.779 0.779 1
```

=====

6.
A plane-wave DFT calculation with PBE was carried out for Ce2GeRh2 after structural relaxation.

```
data_Ce2GeRh2
_cell_length_a 5.652
_cell_length_b 5.652
_cell_length_c 8.008
_cell_angle_alpha 105.21
_cell_angle_beta 105.21
_cell_angle_gamma 56.68
_symmetry_space_group_name_H-M 'P 1'
_symmetry_Int_Tables_number 1
loop_
_symmetry_equiv_pos_as_xyz
'x,y,z'
loop_
_atom_site_label
_atom_site_type_symbol
_atom_site_fract_x
_atom_site_fract_y
_atom_site_fract_z
_atom_site_occupancy
Ce1 Ce 0.010 0.695 0.849 1
Ce2 Ce 0.305 0.990 0.651 1
Ce3 Ce 0.695 0.010 0.349 1
Ce4 Ce 0.990 0.305 0.151 1
Ge1 Ge 0.323 0.677 0.250 1
Ge2 Ge 0.677 0.323 0.750 1
Rh1 Rh 0.240 0.497 0.493 1
Rh2 Rh 0.497 0.240 0.993 1
Rh3 Rh 0.503 0.760 0.007 1
Rh4 Rh 0.760 0.503 0.507 1
```

=====

7.
A plane-wave DFT calculation with PBE was carried out for Ce12GeRh6 after structural relaxation.

```
data_Ce12GeRh6
_cell_length_a 8.096
_cell_length_b 8.096
_cell_length_c 8.096
_cell_angle_alpha 96.82
_cell_angle_beta 96.82
_cell_angle_gamma 96.82
_symmetry_space_group_name_H-M 'P 1'
_symmetry_Int_Tables_number 1
loop_
_symmetry_equiv_pos_as_xyz
'x,y,z'
loop_
_atom_site_label
_atom_site_type_symbol
_atom_site_fract_x
_atom_site_fract_y
_atom_site_fract_z
_atom_site_occupancy
Ce1 Ce 0.031 0.649 0.936 1
Ce2 Ce 0.064 0.969 0.351 1
Ce3 Ce 0.188 0.408 0.574 1
Ce4 Ce 0.351 0.064 0.969 1
Ce5 Ce 0.408 0.574 0.188 1
Ce6 Ce 0.426 0.812 0.592 1
Ce7 Ce 0.574 0.188 0.408 1
Ce8 Ce 0.592 0.426 0.812 1
Ce9 Ce 0.649 0.936 0.031 1
Ce10 Ce 0.812 0.592 0.426 1
Ce11 Ce 0.936 0.031 0.649 1
Ce12 Ce 0.969 0.351 0.064 1
Ge1 Ge 0.000 0.000 0.000 1
Rh1 Rh 0.128 0.636 0.332 1
Rh2 Rh 0.332 0.128 0.636 1
Rh3 Rh 0.364 0.668 0.872 1
Rh4 Rh 0.636 0.332 0.128 1
Rh5 Rh 0.668 0.872 0.364 1
Rh6 Rh 0.872 0.364 0.668 1
```

=====

8.
A plane-wave DFT calculation with PBE was carried out for Ce3Ge7Rh2 after structural relaxation.

```
data_Ce3Ge7Rh2
_cell_length_a 13.201
_cell_length_b 13.201
_cell_length_c 4.304
_cell_angle_alpha 90.00
_cell_angle_beta 90.00
_cell_angle_gamma 161.25
_symmetry_space_group_name_H-M 'P 1'
_symmetry_Int_Tables_number 1
loop_
_symmetry_equiv_pos_as_xyz
'x,y,z'
loop_
_atom_site_label
_atom_site_type_symbol
_atom_site_fract_x
_atom_site_fract_y
_atom_site_fract_z
_atom_site_occupancy
Ce1 Ce 0.000 0.000 0.000 1
Ce2 Ce 0.318 0.682 0.500 1
Ce3 Ce 0.682 0.318 0.500 1
Ge1 Ge 0.084 0.916 0.500 1
Ge2 Ge 0.223 0.777 0.000 1
Ge3 Ge 0.416 0.584 0.000 1
Ge4 Ge 0.500 0.500 0.500 1
Ge5 Ge 0.584 0.416 0.000 1
Ge6 Ge 0.777 0.223 0.000 1
Ge7 Ge 0.916 0.084 0.500 1
Rh1 Rh 0.129 0.871 0.000 1
Rh2 Rh 0.871 0.129 0.000 1
```

=====

9.
A plane-wave DFT calculation with PBE was carried out for Ce3Ge2Rh6 after structural relaxation.

```
data_Ce3Ge2Rh6
_cell_length_a 8.064
_cell_length_b 8.064
_cell_length_c 8.064
_cell_angle_alpha 109.47
_cell_angle_beta 109.47
_cell_angle_gamma 109.47
_symmetry_space_group_name_H-M 'P 1'
_symmetry_Int_Tables_number 1
loop_
_symmetry_equiv_pos_as_xyz
'x,y,z'
loop_
_atom_site_label
_atom_site_type_symbol
_atom_site_fract_x
_atom_site_fract_y
_atom_site_fract_z
_atom_site_occupancy
Ce1 Ce 0.000 0.283 0.283 1
Ce2 Ce 0.000 0.717 0.717 1
Ce3 Ce 0.283 0.000 0.283 1
Ce4 Ce 0.283 0.283 0.000 1
Ce5 Ce 0.717 0.000 0.717 1
Ce6 Ce 0.717 0.717 0.000 1
Ge1 Ge 0.000 0.000 0.500 1
Ge2 Ge 0.000 0.500 0.000 1
Ge3 Ge 0.500 0.000 0.000 1
Ge4 Ge 0.500 0.500 0.500 1
Rh1 Rh 0.000 0.350 0.650 1
Rh2 Rh 0.000 0.650 0.350 1
Rh3 Rh 0.300 0.650 0.650 1
Rh4 Rh 0.350 0.000 0.650 1
Rh5 Rh 0.350 0.350 0.700 1
Rh6 Rh 0.350 0.650 0.000 1
Rh7 Rh 0.350 0.700 0.350 1
Rh8 Rh 0.650 0.000 0.350 1
Rh9 Rh 0.650 0.300 0.650 1
Rh10 Rh 0.650 0.350 0.000 1
Rh11 Rh 0.650 0.650 0.300 1
Rh12 Rh 0.700 0.350 0.350 1
```

=====

10.
A plane-wave DFT calculation with PBE was carried out for CeGe3Rh after structural relaxation.

```
data_CeGe3Rh
_cell_length_a 6.074
_cell_length_b 5.662
_cell_length_c 5.813
_cell_angle_alpha 90.00
_cell_angle_beta 90.00
_cell_angle_gamma 90.00
_symmetry_space_group_name_H-M 'P 1'
_symmetry_Int_Tables_number 1
loop_
_symmetry_equiv_pos_as_xyz
'x,y,z'
loop_
_atom_site_label
_atom_site_type_symbol
_atom_site_fract_x
_atom_site_fract_y
_atom_site_fract_z
_atom_site_occupancy
Ce1 Ce 0.000 0.144 0.000 1
Ce2 Ce 0.500 0.856 0.500 1
Ge1 Ge 0.000 0.912 0.549 1
Ge2 Ge 0.235 0.315 0.452 1
Ge3 Ge 0.265 0.685 0.952 1
Ge4 Ge 0.500 0.088 0.049 1
Ge5 Ge 0.735 0.685 0.952 1
Ge6 Ge 0.765 0.315 0.452 1
Rh1 Rh 0.000 0.611 0.256 1
Rh2 Rh 0.500 0.389 0.756 1
```

=====

11.
A plane-wave DFT calculation with PBE was carried out for Ce3GeRh4 after structural relaxation.

```
data_Ce3GeRh4
_cell_length_a 6.179
_cell_length_b 6.179
_cell_length_c 6.179
_cell_angle_alpha 124.38
_cell_angle_beta 84.46
_cell_angle_gamma 122.14
_symmetry_space_group_name_H-M 'P 1'
_symmetry_Int_Tables_number 1
loop_
_symmetry_equiv_pos_as_xyz
'x,y,z'
loop_
_atom_site_label
_atom_site_type_symbol
_atom_site_fract_x
_atom_site_fract_y
_atom_site_fract_z
_atom_site_occupancy
Ce1 Ce 0.000 0.000 0.000 1
Ce2 Ce 0.554 0.259 0.294 1
Ce3 Ce 0.965 0.259 0.706 1
Ge1 Ge 0.164 0.664 0.500 1
Rh1 Rh 0.498 0.257 0.759 1
Rh2 Rh 0.498 0.738 0.241 1
Rh3 Rh 0.514 0.746 0.768 1
Rh4 Rh 0.978 0.746 0.232 1
```

=====

12.
A plane-wave DFT calculation with PBE was carried out for Ce6GeRh2 after structural relaxation.

```
data_Ce6GeRh2
_cell_length_a 5.660
_cell_length_b 5.660
_cell_length_c 8.784
_cell_angle_alpha 93.50
_cell_angle_beta 93.50
_cell_angle_gamma 49.15
_symmetry_space_group_name_H-M 'P 1'
_symmetry_Int_Tables_number 1
loop_
_symmetry_equiv_pos_as_xyz
'x,y,z'
loop_
_atom_site_label
_atom_site_type_symbol
_atom_site_fract_x
_atom_site_fract_y
_atom_site_fract_z
_atom_site_occupancy
Ce1 Ce 0.067 0.067 0.349 1
Ce2 Ce 0.302 0.302 0.915 1
Ce3 Ce 0.403 0.403 0.322 1
Ce4 Ce 0.597 0.597 0.678 1
Ce5 Ce 0.698 0.698 0.085 1
Ce6 Ce 0.933 0.933 0.651 1
Ge1 Ge 0.000 0.000 0.000 1
Rh1 Rh 0.261 0.261 0.616 1
Rh2 Rh 0.739 0.739 0.384 1
```

=====

Number 1: formation energy from the elements -0.532 eV/atom, total magnetic moment 0.001 μB per formula unit. Number 2: formation energy from the elements -0.167 eV/atom, total magnetic moment 5.157 μB per formula unit. Number 3: formation energy from the elements -0.619 eV/atom, total magnetic moment 4.003 μB per formula unit. Number 4: formation energy from the elements -0.748 eV/atom, total magnetic moment 1.731 μB per formula unit. Number 5: formation energy from the elements -0.530 eV/atom, total magnetic moment 0.681 μB per formula unit. Number 6: formation energy from the elements -0.840 eV/atom, total magnetic moment 0.467 μB per formula unit. Number 7: formation energy from the elements -0.376 eV/atom, total magnetic moment 8.301 μB per formula unit. Number 8: formation energy from the elements -0.726 eV/atom, total magnetic moment 1.207 μB per formula unit. Number 9: formation energy from the elements -0.772 eV/atom, total magnetic moment 0.001 μB per formula unit. Number 10: formation energy from the elements -0.645 eV/atom, total magnetic moment 0.215 μB per formula unit. Number 11: formation energy from the elements -0.670 eV/atom, total magnetic moment 1.366 μB per formula unit. Number 12: formation energy from the elements -0.497 eV/atom, total magnetic moment 2.358 μB per formula unit.